The following is a DFT calculation (PBE-GGA) of a relaxed structure of Ag3BrF5.

## Properties
Relative energy among the computed polymorphs = 13.7 meV/atom
D(E_F) = 0.485 states/eV/atom
Magnetization = 0.0 μB per cell
Formation energy from raw total energies = -953 meV/atom

Cell lengths 11.2724, 7.6434, 9.3602 Å; angles 90.00, 119.62, 90.00 degrees
Space group C2/m (No. 12)
One atom of each set of equivalent atoms:
Ag (0.0000, 0.0000, 0.0000) x2
Ag (0.0000, 0.0000, 0.5000) x2
Ag (0.1587, 0.5000, 0.1644) x4
Ag (0.1681, 0.5000, 0.6598) x4
Br (0.1060, 0.0000, 0.8148) x4
F (0.0000, 0.3372, 0.5000) x4
F (0.0547, 0.5000, 0.9005) x4
F (0.1795, 0.1786, 0.1910) x8
F (0.2129, 0.0000, 0.5706) x4